1.
# Ac2InHg6 PBE-GGA optimized geometry
# - energy of formation from the pure elements (eV per atom) = -0.37
data_Ac2InHg6
_chemical_formula_sum 'Ac4 In2 Hg12'
_space_group_name_H-M_alt 'C 1 2/m 1'
_space_group_IT_number 12
_space_group_name_Hall '-C 2y'
_cell_length_a 11.934
_cell_length_b 6.889
_cell_length_c 6.106
_cell_angle_alpha 90.00
_cell_angle_beta 90.01
_cell_angle_gamma 90.00
loop_
_atom_site_label
_atom_site_type_symbol
_atom_site_fract_x
_atom_site_fract_y
_atom_site_fract_z
_atom_site_occupancy
Ac1 Ac 0.167 0.000 0.317 1
In1 In 0.000 0.500 0.500 1
Hg1 Hg 0.091 0.227 0.825 1
Hg2 Hg 0.182 0.500 0.178 1

2.
# YZn2Ni PBE-GGA optimized geometry
# - energy of formation from the pure elements (eV per atom) = -0.21
data_YZn2Ni
_chemical_formula_sum 'Y1 Zn2 Ni1'
_space_group_name_H-M_alt 'P 1 m 1'
_space_group_IT_number 6
_space_group_name_Hall 'P -2y'
_cell_length_a 3.657
_cell_length_b 3.763
_cell_length_c 5.633
_cell_angle_alpha 90.00
_cell_angle_beta 108.81
_cell_angle_gamma 90.00
loop_
_atom_site_label
_atom_site_type_symbol
_atom_site_fract_x
_atom_site_fract_y
_atom_site_fract_z
_atom_site_occupancy
Y1 Y 0.000 0.000 0.000 1
Zn1 Zn 0.274 0.000 0.544 1
Zn2 Zn 0.688 0.500 0.376 1
Ni1 Ni 0.415 0.500 0.829 1

3.
# TbBiAs2O8 PBE-GGA optimized geometry
# - formation energy (no corrections) (eV per atom) = -1.825
data_TbBiAs2O8
_chemical_formula_sum 'Tb2 Bi2 As4 O16'
_space_group_name_H-M_alt 'I -4'
_space_group_IT_number 82
_space_group_name_Hall 'I -4'
_cell_length_a 5.111
_cell_length_b 5.111
_cell_length_c 11.598
_cell_angle_alpha 90.00
_cell_angle_beta 90.00
_cell_angle_gamma 90.00
loop_
_atom_site_label
_atom_site_type_symbol
_atom_site_fract_x
_atom_site_fract_y
_atom_site_fract_z
_atom_site_occupancy
Tb1 Tb 0.000 0.000 0.000 1
Bi1 Bi 0.000 0.500 0.250 1
As1 As 0.000 0.000 0.500 1
As2 As 0.000 0.500 0.750 1
O1 O 0.139 0.750 0.830 1
O2 O 0.151 0.249 0.424 1

4.
# Ba6Rh3Br2 PBE-GGA optimized geometry
# - formation energy (no corrections) (eV per atom) = -0.689
data_Ba6Rh3Br2
_chemical_formula_sum 'Ba12 Rh6 Br4'
_space_group_name_H-M_alt 'C 1 2/m 1'
_space_group_IT_number 12
_space_group_name_Hall '-C 2y'
_cell_length_a 7.919
_cell_length_b 13.701
_cell_length_c 8.585
_cell_angle_alpha 90.00
_cell_angle_beta 108.11
_cell_angle_gamma 90.00
loop_
_atom_site_label
_atom_site_type_symbol
_atom_site_fract_x
_atom_site_fract_y
_atom_site_fract_z
_atom_site_occupancy
Ba1 Ba 0.231 0.172 0.207 1
Ba2 Ba 0.245 0.500 0.202 1
Rh1 Rh 0.000 0.000 0.000 1
Rh2 Rh 0.000 0.331 0.000 1
Br1 Br 0.000 0.165 0.500 1

How do the records compare in magnetization? In the order shown, they have 0.00 0.00 0.00 0.00 μB/f.u..
How do the records compare in volume? In the order shown, they have 27.891 18.344 12.624 40.242 Å³ per atom.